Ho5Ga2Te after structural relaxation, computed with PBE.

Computed properties:
- formation energy without anion corrections (eV per formula unit) = -5.16
- total DFT energy (no corrections) (eV/atom) = -4.66

Structure (extended XYZ):
```
16
Lattice="-3.6510 1.7314 -7.0326 6.7681 3.6193 -2.6226 0.4508 -8.1687 2.4320" Properties=species:S:1:pos:R:3 pbc="T T T"
Ho 3.2318 -2.4044 -3.6958
Ho 3.9274 2.6301 -7.4946
Ho 0.0000 0.0000 0.0000
Ho 1.5585 2.6753 -4.8276
Ho -0.3595 -5.4481 0.2714
Ho -0.8646 -3.8762 -3.7565
Ho 3.7368 -3.9762 0.3322
Ho 4.4325 1.0583 -3.4666
Ho -0.1689 1.1582 -7.5554
Ho 0.3361 -0.4136 -3.5274
Ga 1.8288 1.5279 -1.9696
Ga -1.3602 1.6644 -4.9575
Ga 4.4773 3.6863 -4.6977
Ga 1.2883 3.8228 -7.6856
Te 2.5632 -0.0713 -6.0254
Te 1.0047 -2.7467 -1.1978
```

---

Ho5Ga2Te after structural relaxation, computed with PBE.

Computed properties:
- formation energy without anion corrections (eV per formula unit) = -3.28
- total DFT energy (no corrections) (eV/atom) = -4.42

Structure (extended XYZ):
```
8
Lattice="7.3707 -0.0005 -0.0031 -0.0004 7.3711 -0.0031 -3.6866 -3.6867 3.7861" Properties=species:S:1:pos:R:3 pbc="T T T"
Ho 1.7279 -1.7308 3.5423
Ho -1.7317 -1.7317 3.5411
Ho 1.7287 1.7286 3.5399
Ho -1.7309 1.7280 3.5423
Ho 3.6847 3.6850 1.9819
Ga -0.0024 3.6866 1.7948
Ga 3.6865 -0.0026 1.7946
Te -0.0002 -0.0001 1.2678
```

---

Ho2GaTe4 after structural relaxation, computed with PBE.

Computed properties:
- formation energy without anion corrections (eV per formula unit) = -6.92
- total DFT energy (no corrections) (eV/atom) = -4.52

Structure (extended XYZ):
```
7
Lattice="-3.0774 0.6257 -2.9041 -1.2871 -7.5400 -0.2607 -2.4926 4.2890 6.7154" Properties=species:S:1:pos:R:3 pbc="T T T"
Ho -4.4532 -3.1919 0.8812
Ho -2.4039 0.5666 2.6694
Ga 0.0000 0.0000 0.0000
Te -4.9145 2.2480 2.5421
Te -1.9426 -4.8733 1.0084
Te -2.9690 -0.6650 -0.1471
Te -3.8881 -1.9602 3.6977
```